(1)
Crystalline Tb4NdDyS8 at its relaxed geometry, computed with PBE-GGA.

Unit cell a=8.1267 b=8.1267 c=19.8772 alpha=90.00 beta=90.00 gamma=120.00
Space group R3m (No. 160, hexagonal axes)
Inequivalent atoms, fractional coordinates:
Tb: 0.0000 0.0000 0.0000
Tb: 0.1675 0.3350 0.4579
Nd: 0.0000 0.0000 0.2496
Dy: 0.0000 0.0000 0.6253
S: 0.0000 0.0000 0.3852
S: 0.0000 0.0000 0.8678
S: 0.0201 0.5101 0.3767
S: 0.1813 0.3626 0.2050

Computed properties:
Final energy = -6.28 eV per atom
Magnetic moment = 0.00 μB per formula unit
ΔE_f (raw) = -186.3 kJ per mole of atoms

(2)
Crystalline Sr2HfO at its relaxed geometry, computed with PBE-GGA.

Unit cell a=7.4096 b=7.4096 c=9.1718 alpha=90.00 beta=90.00 gamma=90.00
Space group I-42d (No. 122)
Inequivalent atoms, fractional coordinates:
Sr: 0.1153 0.7500 0.1250
Hf: 0.0000 0.0000 0.5000
O: 0.0000 0.0000 0.0000

Computed properties:
Final energy = -4.98 eV per atom
Magnetic moment = 0.94 μB per formula unit
ΔE_f (raw) = -40.0 kJ per mole of atoms

(3)
Crystalline Zr2CoIr at its relaxed geometry, computed with PBE-GGA.

Unit cell a=3.6577 b=3.6577 c=5.5479 alpha=90.00 beta=90.00 gamma=90.00
Space group P4mm (No. 99)
Inequivalent atoms, fractional coordinates:
Zr: 0.0000 0.0000 0.0000
Zr: 0.5000 0.5000 0.3693
Co: 0.0000 0.0000 0.4835
Ir: 0.5000 0.5000 0.8625

Computed properties:
Final energy = -8.58 eV per atom
Magnetic moment = 0.00 μB per formula unit
Energy relative to the elements = -123 kJ/mol of formula units

(4)
Crystalline Sb2PbAu at its relaxed geometry, computed with PBE-GGA.

Unit cell a=6.5401 b=9.9601 c=3.3438 alpha=90.00 beta=106.18 gamma=90.00
Space group C2/m (No. 12)
Inequivalent atoms, fractional coordinates:
Sb: 0.2500 0.2500 0.0000
Pb: 0.0000 0.0000 0.5000
Au: 0.0000 0.5000 0.5000

Computed properties:
Final energy = -3.62 eV per atom
Magnetic moment = 0.00 μB per formula unit
ΔE_f (raw) = 17.7 kJ per mole of atoms

(5)
Crystalline SmY2Cd2In2 at its relaxed geometry, computed with PBE-GGA.

Unit cell a=4.9470 b=4.9470 c=27.2475 alpha=90.00 beta=90.00 gamma=120.00
Space group R-3m (No. 166, hexagonal axes)
Inequivalent atoms, fractional coordinates:
Sm: 0.0000 0.0000 0.0000
Y: 0.0000 0.0000 0.1284
Cd: 0.0000 0.0000 0.3979
In: 0.0000 0.0000 0.2577

Computed properties:
Final energy = -3.85 eV per atom
Magnetic moment = 0.00 μB per formula unit
Energy relative to the elements = -191 kJ/mol of formula units

(6)
Crystalline BaCe2ZnS5 at its relaxed geometry, computed with PBE-GGA.

Unit cell a=7.8621 b=7.8621 c=13.7356 alpha=90.00 beta=90.00 gamma=90.00
Space group I4/mcm (No. 140)
Inequivalent atoms, fractional coordinates:
Ba: 0.0000 0.0000 0.2500
Ce: 0.1594 0.3406 0.0000
Zn: 0.0000 0.5000 0.2500
S: 0.0000 0.0000 0.0000
S: 0.1506 0.3494 0.3662

Computed properties:
Final energy = -5.72 eV per atom
Magnetic moment = 2.00 μB per formula unit
ΔE_f (raw) = -169.6 kJ per mole of atoms

(7)
Crystalline SiAgF6 at its relaxed geometry, computed with PBE-GGA.

Unit cell a=7.8835 b=7.8835 c=7.8835 alpha=90.00 beta=90.00 gamma=90.00
Space group Fm-3m (No. 225)
Inequivalent atoms, fractional coordinates:
Si: 0.0000 0.0000 0.0000
Ag: 0.0000 0.0000 0.5000
F: 0.0000 0.0000 0.2174

Computed properties:
Final energy = -4.74 eV per atom
Magnetic moment = 1.01 μB per formula unit
Energy relative to the lowest polymorph listed for this composition = 0.000 eV per atom
ΔE_f (raw) = -222.1 kJ per mole of atoms